DFT (PBE) results for a geometry-optimized FeCuN structure.

abc: 3.491 3.491 4.872
angles: 90.00 90.00 90.00
Space group P4/nmm (No. 129, origin choice 2)
Inequivalent atoms, fractional coordinates:
Fe (0.250, 0.750, 0.000) x2
Cu (0.250, 0.250, 0.436) x2
N (0.250, 0.250, 0.828) x2

- Volume: 29.7 Å³/f.u.
- DOS at the Fermi energy: 0.407 states/eV/atom
- M_tot: 0.00 μB per cell
- E_tot: -6.654 eV/atom
- Crystal system: tetragonal